Record 1
! CaYAu2 | Alexandria | meta-GGA SCAN | PBEsol geometry; values from VASP
! - E: -44.8841 eV/atom
! - Spin magnetization: 0.00 μB per cell
! - ΔH_f (0 K): -929 meV/atom
! - SG: P4mm, No. 99
&SYSTEM
  ibrav = 0, nat = 4, ntyp = 3
/
ATOMIC_SPECIES
Ca 40.08 Ca.upf
Au 196.97 Au.upf
Y 88.91 Y.upf
CELL_PARAMETERS angstrom
4.091 0.000 0.000
0.000 4.091 0.000
0.000 0.000 5.937
ATOMIC_POSITIONS crystal
Ca 0.000 0.000 0.413
Au 0.500 0.500 0.333
Y 0.500 0.500 0.836
Au 0.000 0.000 0.918

---

Record 2
! CaY2Au | Alexandria | meta-GGA SCAN | PBEsol geometry; values from VASP
! - E: -33.8353 eV/atom
! - Spin magnetization: 0.01 μB per cell
! - ΔH_f (0 K): -209 meV/atom
! - SG: I4/mmm, No. 139
&SYSTEM
  ibrav = 0, nat = 4, ntyp = 3
/
ATOMIC_SPECIES
Ca 40.08 Ca.upf
Y 88.91 Y.upf
Au 196.97 Au.upf
CELL_PARAMETERS angstrom
4.532 0.000 0.000
0.000 4.532 0.000
-2.266 -2.266 5.055
ATOMIC_POSITIONS crystal
Ca 0.000 0.000 0.000
Y 0.750 0.250 0.500
Au 0.500 0.500 0.000
Y 0.250 0.750 0.500

---

Record 3
! Ca3YAu | Alexandria | meta-GGA SCAN | PBEsol geometry; values from VASP
! - E: -24.1523 eV/atom
! - Spin magnetization: 4.07 μB per cell
! - ΔH_f (0 K): 1046 meV/atom
! - SG: Pm-3m, No. 221
&SYSTEM
  ibrav = 0, nat = 5, ntyp = 3
/
ATOMIC_SPECIES
Ca 40.08 Ca.upf
Y 88.91 Y.upf
Au 196.97 Au.upf
CELL_PARAMETERS angstrom
5.819 0.000 0.000
0.000 5.819 0.000
0.000 0.000 5.819
ATOMIC_POSITIONS crystal
Ca 0.500 0.000 0.000
Y 0.000 0.000 0.000
Au 0.500 0.500 0.500
Ca 0.000 0.500 0.000
Ca 0.000 0.000 0.500

---

Record 4
! CaYAu2 | Alexandria | meta-GGA SCAN | PBEsol geometry; values from VASP
! - E: -44.9938 eV/atom
! - Spin magnetization: 0.00 μB per cell
! - ΔH_f (0 K): -1039 meV/atom
! - SG: P4/mmm, No. 123
&SYSTEM
  ibrav = 0, nat = 4, ntyp = 3
/
ATOMIC_SPECIES
Au 196.97 Au.upf
Ca 40.08 Ca.upf
Y 88.91 Y.upf
CELL_PARAMETERS angstrom
-2.047 1.278 -2.530
2.620 -2.602 -3.434
-3.139 -3.906 0.566
ATOMIC_POSITIONS crystal
Au 0.000 0.000 0.500
Ca 0.500 0.000 0.000
Au 0.000 0.500 0.000
Y 0.500 0.500 0.500

---

Record 5
! CaYAu2 | Alexandria | meta-GGA SCAN | PBEsol geometry; values from VASP
! - E: -45.0041 eV/atom
! - Spin magnetization: 0.00 μB per cell
! - ΔH_f (0 K): -1049 meV/atom
! - SG: Amm2, No. 38
&SYSTEM
  ibrav = 0, nat = 4, ntyp = 3
/
ATOMIC_SPECIES
Y 88.91 Y.upf
Au 196.97 Au.upf
Ca 40.08 Ca.upf
CELL_PARAMETERS angstrom
3.753 0.000 0.000
0.000 4.637 0.000
-1.877 0.000 5.379
ATOMIC_POSITIONS crystal
Y 0.238 0.000 0.476
Au 0.958 0.000 0.916
Ca 0.515 0.500 0.030
Au 0.789 0.500 0.578

---

Record 6
! CaY2Au2 | Alexandria | meta-GGA SCAN | PBEsol geometry; values from VASP
! - E: -41.6657 eV/atom
! - Spin magnetization: 0.00 μB per cell
! - ΔH_f (0 K): -933 meV/atom
! - SG: P4/mbm, No. 127
&SYSTEM
  ibrav = 0, nat = 10, ntyp = 3
/
ATOMIC_SPECIES
Au 196.97 Au.upf
Y 88.91 Y.upf
Ca 40.08 Ca.upf
CELL_PARAMETERS angstrom
3.735 0.000 0.000
0.000 8.150 0.000
0.000 0.000 8.150
ATOMIC_POSITIONS crystal
Au 0.000 0.864 0.636
Y 0.500 0.156 0.656
Ca 0.000 0.000 0.000
Y 0.500 0.656 0.844
Au 0.000 0.136 0.364
Ca 0.000 0.500 0.500
Y 0.500 0.344 0.156
Au 0.000 0.364 0.864
Y 0.500 0.844 0.344
Au 0.000 0.636 0.136

---

Record 7
! CaYAu4 | Alexandria | meta-GGA SCAN | PBEsol geometry; values from VASP
! - E: -53.0910 eV/atom
! - Spin magnetization: 0.00 μB per cell
! - ΔH_f (0 K): -735 meV/atom
! - SG: F-43m, No. 216
&SYSTEM
  ibrav = 0, nat = 6, ntyp = 3
/
ATOMIC_SPECIES
Au 196.97 Au.upf
Ca 40.08 Ca.upf
Y 88.91 Y.upf
CELL_PARAMETERS angstrom
-4.376 -2.890 -1.857
0.631 -3.632 -4.167
-0.350 -5.462 0.994
ATOMIC_POSITIONS crystal
Au 0.874 0.375 0.375
Au 0.375 0.375 0.874
Ca 0.750 0.750 0.750
Y 0.000 0.000 0.000
Au 0.375 0.874 0.375
Au 0.375 0.375 0.375

---

Record 8
! Ca2ZnAu2 | Alexandria | meta-GGA SCAN | PBEsol geometry; values from VASP
! - E: -34.9734 eV/atom
! - Spin magnetization: 0.00 μB per cell
! - ΔH_f (0 K): -742 meV/atom
! - SG: P4/mbm, No. 127
&SYSTEM
  ibrav = 0, nat = 10, ntyp = 3
/
ATOMIC_SPECIES
Ca 40.08 Ca.upf
Au 196.97 Au.upf
Zn 65.41 Zn.upf
CELL_PARAMETERS angstrom
-3.951 0.570 -1.100
0.477 -5.698 -4.661
-2.156 -4.574 5.371
ATOMIC_POSITIONS crystal
Ca 0.500 0.170 0.670
Au 0.000 0.864 0.636
Au 0.000 0.636 0.136
Ca 0.500 0.330 0.170
Ca 0.500 0.830 0.330
Ca 0.500 0.670 0.830
Au 0.000 0.364 0.864
Zn 0.000 0.500 0.500
Au 0.000 0.136 0.364
Zn 0.000 0.000 0.000

---

Record 9
! Ca2Zn3Au9 | Alexandria | meta-GGA SCAN | PBEsol geometry; values from VASP
! - E: -49.2728 eV/atom
! - Spin magnetization: 0.00 μB per cell
! - ΔH_f (0 K): -538 meV/atom
! - SG: C222, No. 21
&SYSTEM
  ibrav = 0, nat = 14, ntyp = 3
/
ATOMIC_SPECIES
Au 196.97 Au.upf
Ca 40.08 Ca.upf
Zn 65.41 Zn.upf
CELL_PARAMETERS angstrom
5.251 0.000 0.000
-2.626 4.906 0.000
0.000 0.000 9.804
ATOMIC_POSITIONS crystal
Au 0.000 0.500 0.544
Au 0.000 0.500 0.942
Ca 0.000 0.500 0.244
Au 0.198 0.899 0.742
Zn 0.000 0.000 0.000
Au 0.298 0.101 0.258
Zn 0.500 0.000 0.500
Ca 0.500 0.500 0.756
Au 0.802 0.101 0.742
Au 0.500 0.500 0.456
Au 0.500 0.000 0.000
Au 0.500 0.500 0.058
Zn 0.000 0.000 0.500
Au 0.702 0.899 0.258

---

Record 10
! Ca2ZnAu2 | Alexandria | meta-GGA SCAN | PBEsol geometry; values from VASP
! - E: -34.8637 eV/atom
! - Spin magnetization: 0.00 μB per cell
! - ΔH_f (0 K): -633 meV/atom
! - SG: I4/mmm, No. 139
&SYSTEM
  ibrav = 0, nat = 5, ntyp = 3
/
ATOMIC_SPECIES
Ca 40.08 Ca.upf
Zn 65.41 Zn.upf
Au 196.97 Au.upf
CELL_PARAMETERS angstrom
-3.963 -1.877 -3.400
0.755 -2.574 4.857
-0.720 4.935 2.431
ATOMIC_POSITIONS crystal
Ca 0.500 0.250 0.750
Zn 0.000 0.000 0.000
Au 0.000 0.670 0.670
Ca 0.500 0.750 0.250
Au 0.000 0.330 0.330

---

Record 11
! Ca2ZrAu | Alexandria | meta-GGA SCAN | PBEsol geometry; values from VASP
! - E: -30.0303 eV/atom
! - Spin magnetization: 0.00 μB per cell
! - ΔH_f (0 K): -235 meV/atom
! - SG: Imm2, No. 44
&SYSTEM
  ibrav = 0, nat = 4, ntyp = 3
/
ATOMIC_SPECIES
Au 196.97 Au.upf
Zr 91.22 Zr.upf
Ca 40.08 Ca.upf
CELL_PARAMETERS angstrom
3.508 0.000 0.000
0.000 5.321 0.000
-1.754 -2.660 5.632
ATOMIC_POSITIONS crystal
Au 0.237 0.237 0.473
Zr 0.550 0.050 0.099
Ca 0.959 0.459 0.918
Ca 0.755 0.755 0.510

---

Record 12
! CaZr2Au | Alexandria | meta-GGA SCAN | PBEsol geometry; values from VASP
! - E: -35.1306 eV/atom
! - Spin magnetization: 0.00 μB per cell
! - ΔH_f (0 K): -76 meV/atom
! - SG: P4/mmm, No. 123
&SYSTEM
  ibrav = 0, nat = 4, ntyp = 3
/
ATOMIC_SPECIES
Ca 40.08 Ca.upf
Au 196.97 Au.upf
Zr 91.22 Zr.upf
CELL_PARAMETERS angstrom
3.108 0.000 0.000
0.000 3.108 0.000
0.000 0.000 9.617
ATOMIC_POSITIONS crystal
Ca 0.500 0.500 0.500
Au 0.500 0.500 0.000
Zr 0.000 0.000 0.798
Zr 0.000 0.000 0.202

---

Record 13
! CdAu2 | Alexandria | meta-GGA SCAN | PBEsol geometry; values from VASP
! - E: -56.3884 eV/atom
! - Spin magnetization: 0.00 μB per cell
! - ΔH_f (0 K): -146 meV/atom
! - SG: C2/m, No. 12
&SYSTEM
  ibrav = 0, nat = 6, ntyp = 2
/
ATOMIC_SPECIES
Au 196.97 Au.upf
Cd 112.41 Cd.upf
CELL_PARAMETERS angstrom
-2.964 -0.410 0.013
1.908 -2.738 4.413
-0.912 6.663 1.967
ATOMIC_POSITIONS crystal
Au 0.359 0.717 0.970
Cd 0.683 0.366 0.641
Au 0.036 0.072 0.299
Au 0.964 0.928 0.701
Cd 0.317 0.634 0.359
Au 0.641 0.283 0.030

---

Record 14
! Cd2Au | Alexandria | meta-GGA SCAN | PBEsol geometry; values from VASP
! - E: -43.4970 eV/atom
! - Spin magnetization: 0.00 μB per cell
! - ΔH_f (0 K): -168 meV/atom
! - SG: C2/m, No. 12
&SYSTEM
  ibrav = 0, nat = 6, ntyp = 2
/
ATOMIC_SPECIES
Cd 112.41 Cd.upf
Au 196.97 Au.upf
CELL_PARAMETERS angstrom
-2.723 1.461 0.287
-1.139 -5.487 0.340
1.654 1.800 6.533
ATOMIC_POSITIONS crystal
Cd 0.362 0.724 0.469
Au 0.033 0.066 0.801
Cd 0.638 0.276 0.531
Au 0.967 0.934 0.199
Cd 0.320 0.639 0.873
Cd 0.680 0.361 0.127

---

Record 15
! Cd2Au | Alexandria | meta-GGA SCAN | PBEsol geometry; values from VASP
! - E: -43.5078 eV/atom
! - Spin magnetization: 0.00 μB per cell
! - ΔH_f (0 K): -179 meV/atom
! - SG: Fd-3m, No. 227
&SYSTEM
  ibrav = 0, nat = 24, ntyp = 2
/
ATOMIC_SPECIES
Au 196.97 Au.upf
Cd 112.41 Cd.upf
CELL_PARAMETERS angstrom
8.760 0.000 0.000
4.380 7.586 0.000
4.380 2.529 7.152
ATOMIC_POSITIONS crystal
Au 0.344 0.344 0.967
Cd 0.309 0.691 0.309
Au 0.344 0.967 0.344
Cd 0.691 0.309 0.691
Cd 0.125 0.625 0.125
Au 0.906 0.283 0.906
Cd 0.941 0.559 0.941
Au 0.967 0.344 0.344
Cd 0.941 0.941 0.559
Au 0.344 0.344 0.344
Cd 0.559 0.941 0.941
Cd 0.559 0.941 0.559
Cd 0.559 0.559 0.941
Au 0.283 0.906 0.906
Cd 0.125 0.125 0.125
Au 0.906 0.906 0.906
Cd 0.309 0.309 0.691
Cd 0.691 0.691 0.309
Cd 0.309 0.691 0.691
Au 0.906 0.906 0.283
Cd 0.941 0.559 0.559
Cd 0.691 0.309 0.309
Cd 0.125 0.125 0.625
Cd 0.625 0.125 0.125

---

Record 16
! CdAu5 | Alexandria | meta-GGA SCAN | PBEsol geometry; values from VASP
! - E: -62.7843 eV/atom
! - Spin magnetization: 0.00 μB per cell
! - ΔH_f (0 K): -84 meV/atom
! - SG: Amm2, No. 38
&SYSTEM
  ibrav = 0, nat = 6, ntyp = 2
/
ATOMIC_SPECIES
Au 196.97 Au.upf
Cd 112.41 Cd.upf
CELL_PARAMETERS angstrom
2.944 0.000 0.000
0.000 4.753 0.000
-1.472 0.000 7.403
ATOMIC_POSITIONS crystal
Au 0.668 0.000 0.336
Cd 0.888 0.500 0.776
Au 0.334 0.000 0.667
Au 0.555 0.500 0.110
Au 0.002 0.000 0.003
Au 0.221 0.500 0.442

---

Record 17
! CdAu2 | Alexandria | meta-GGA SCAN | PBEsol geometry; values from VASP
! - E: -56.3886 eV/atom
! - Spin magnetization: 0.00 μB per cell
! - ΔH_f (0 K): -146 meV/atom
! - SG: P6/mmm, No. 191
&SYSTEM
  ibrav = 0, nat = 3, ntyp = 2
/
ATOMIC_SPECIES
Cd 112.41 Cd.upf
Au 196.97 Au.upf
CELL_PARAMETERS angstrom
-0.315 -1.857 2.080
-1.520 -3.214 -3.100
4.600 0.330 0.991
ATOMIC_POSITIONS crystal
Cd 0.000 0.000 0.000
Au 0.500 0.667 0.333
Au 0.500 0.333 0.667

---

Record 18
! CdAu4 | Alexandria | meta-GGA SCAN | PBEsol geometry; values from VASP
! - E: -61.4951 eV/atom
! - Spin magnetization: 0.00 μB per cell
! - ΔH_f (0 K): -87 meV/atom
! - SG: I4/mmm, No. 139
&SYSTEM
  ibrav = 0, nat = 5, ntyp = 2
/
ATOMIC_SPECIES
Au 196.97 Au.upf
Cd 112.41 Cd.upf
CELL_PARAMETERS angstrom
-2.557 -0.231 -1.435
1.143 -2.113 -1.697
-2.353 -5.755 8.132
ATOMIC_POSITIONS crystal
Au 0.601 0.601 0.203
Au 0.399 0.399 0.797
Au 0.201 0.201 0.402
Cd 0.000 0.000 0.000
Au 0.799 0.799 0.598

---

Record 19
! Cd4Au | Alexandria | meta-GGA SCAN | PBEsol geometry; values from VASP
! - E: -38.1963 eV/atom
! - Spin magnetization: 0.00 μB per cell
! - ΔH_f (0 K): -33 meV/atom
! - SG: R-3m, No. 166
&SYSTEM
  ibrav = 0, nat = 5, ntyp = 2
/
ATOMIC_SPECIES
Cd 112.41 Cd.upf
Au 196.97 Au.upf
CELL_PARAMETERS angstrom
3.102 0.000 0.000
1.551 2.686 0.000
1.551 0.895 11.870
ATOMIC_POSITIONS crystal
Cd 0.201 0.201 0.396
Cd 0.604 0.604 0.189
Cd 0.396 0.396 0.811
Cd 0.799 0.799 0.604
Au 0.000 0.000 0.000

---

Record 20
! Cd2Au | Alexandria | meta-GGA SCAN | PBEsol geometry; values from VASP
! - E: -43.4649 eV/atom
! - Spin magnetization: 0.00 μB per cell
! - ΔH_f (0 K): -136 meV/atom
! - SG: I4_1/amd, No. 141
&SYSTEM
  ibrav = 0, nat = 6, ntyp = 2
/
ATOMIC_SPECIES
Cd 112.41 Cd.upf
Au 196.97 Au.upf
CELL_PARAMETERS angstrom
-0.237 -2.867 -0.998
3.029 -0.292 0.122
-2.282 -2.548 12.508
ATOMIC_POSITIONS crystal
Cd 0.424 0.424 0.847
Au 0.000 0.000 0.000
Cd 0.674 0.174 0.347
Cd 0.826 0.326 0.653
Au 0.250 0.750 0.500
Cd 0.576 0.576 0.153

---

Record 21
! CdAu2 | Alexandria | meta-GGA SCAN | PBEsol geometry; values from VASP
! - E: -56.3906 eV/atom
! - Spin magnetization: 0.00 μB per cell
! - ΔH_f (0 K): -148 meV/atom
! - SG: I4/mcm, No. 140
&SYSTEM
  ibrav = 0, nat = 6, ntyp = 2
/
ATOMIC_SPECIES
Au 196.97 Au.upf
Cd 112.41 Cd.upf
CELL_PARAMETERS angstrom
-2.657 -3.141 -3.430
5.532 0.826 -0.859
3.362 -4.027 1.082
ATOMIC_POSITIONS crystal
Au 0.315 0.000 0.815
Au 0.185 0.000 0.315
Au 0.815 0.000 0.685
Cd 0.250 0.500 0.750
Cd 0.750 0.500 0.250
Au 0.685 0.000 0.185

---

Record 22
! Cd4Au3 | Alexandria | meta-GGA SCAN | PBEsol geometry; values from VASP
! - E: -47.1394 eV/atom
! - Spin magnetization: 0.00 μB per cell
! - ΔH_f (0 K): -121 meV/atom
! - SG: P6/mmm, No. 191
&SYSTEM
  ibrav = 0, nat = 7, ntyp = 2
/
ATOMIC_SPECIES
Cd 112.41 Cd.upf
Au 196.97 Au.upf
CELL_PARAMETERS angstrom
-0.078 -4.519 2.803
5.111 0.900 1.594
-4.139 1.903 2.952
ATOMIC_POSITIONS crystal
Cd 0.500 0.667 0.333
Cd 0.746 0.000 0.000
Cd 0.254 0.000 0.000
Au 0.000 0.000 0.500
Cd 0.500 0.333 0.667
Au 0.000 0.500 0.500
Au 0.000 0.500 0.000

---

Record 23
! Cd5Au4 | Alexandria | meta-GGA SCAN | PBEsol geometry; values from VASP
! - E: -47.8488 eV/atom
! - Spin magnetization: 0.00 μB per cell
! - ΔH_f (0 K): -215 meV/atom
! - SG: P6_3/mcm, No. 193
&SYSTEM
  ibrav = 0, nat = 18, ntyp = 2
/
ATOMIC_SPECIES
Au 196.97 Au.upf
Cd 112.41 Cd.upf
CELL_PARAMETERS angstrom
5.742 0.000 0.000
0.000 8.219 0.000
0.000 -4.110 7.118
ATOMIC_POSITIONS crystal
Au 0.250 0.000 0.627
Au 0.000 0.000 0.000
Cd 0.500 0.333 0.667
Au 0.750 0.000 0.373
Cd 0.250 0.705 0.705
Cd 0.750 0.295 0.295
Cd 0.750 0.000 0.705
Cd 0.500 0.667 0.333
Cd 0.250 0.000 0.295
Au 0.750 0.373 0.000
Cd 0.000 0.667 0.333
Cd 0.000 0.333 0.667
Cd 0.250 0.295 0.000
Au 0.750 0.627 0.627
Au 0.500 0.000 0.000
Au 0.250 0.373 0.373
Cd 0.750 0.705 0.000
Au 0.250 0.627 0.000

---

Record 24
! CdAu4 | Alexandria | meta-GGA SCAN | PBEsol geometry; values from VASP
! - E: -61.5141 eV/atom
! - Spin magnetization: 0.00 μB per cell
! - ΔH_f (0 K): -106 meV/atom
! - SG: C2/m, No. 12
&SYSTEM
  ibrav = 0, nat = 5, ntyp = 2
/
ATOMIC_SPECIES
Au 196.97 Au.upf
Cd 112.41 Cd.upf
CELL_PARAMETERS angstrom
-1.164 -1.512 2.280
3.354 -3.470 1.349
2.976 2.482 5.104
ATOMIC_POSITIONS crystal
Au 0.198 0.903 0.700
Au 0.398 0.301 0.902
Au 0.602 0.699 0.098
Au 0.802 0.097 0.300
Cd 0.000 0.500 0.500

---

Record 25
! CdAu5 | Alexandria | meta-GGA SCAN | PBEsol geometry; values from VASP
! - E: -62.8078 eV/atom
! - Spin magnetization: 0.00 μB per cell
! - ΔH_f (0 K): -108 meV/atom
! - SG: P-62m, No. 189
&SYSTEM
  ibrav = 0, nat = 6, ntyp = 2
/
ATOMIC_SPECIES
Au 196.97 Au.upf
Cd 112.41 Cd.upf
CELL_PARAMETERS angstrom
-1.996 -3.687 2.249
-0.764 -2.271 -4.401
4.265 -0.776 2.512
ATOMIC_POSITIONS crystal
Au 0.500 0.667 0.333
Au 0.000 0.000 0.664
Au 0.000 0.336 0.336
Cd 0.500 0.000 0.000
Au 0.000 0.664 0.000
Au 0.500 0.333 0.667

---

Record 26
! CdAu2 | Alexandria | meta-GGA SCAN | PBEsol geometry; values from VASP
! - E: -56.3934 eV/atom
! - Spin magnetization: 0.00 μB per cell
! - ΔH_f (0 K): -151 meV/atom
! - SG: I4/mmm, No. 139
&SYSTEM
  ibrav = 0, nat = 3, ntyp = 2
/
ATOMIC_SPECIES
Au 196.97 Au.upf
Cd 112.41 Cd.upf
CELL_PARAMETERS angstrom
2.988 0.000 0.000
0.000 2.988 0.000
-1.494 -1.494 5.945
ATOMIC_POSITIONS crystal
Au 0.333 0.333 0.666
Cd 0.000 0.000 0.000
Au 0.667 0.667 0.334